Record 1
BaZnSb2, relaxed, DFT GGA-PBE; calculated total energy = -3.05 eV/atom
1.0
4.511 -3.003 -1.274
3.684 -1.307 3.963
0.434 -5.260 1.771
Sb Zn Ba
2 1 1
Direct
0.000 0.000 0.000
0.750 0.750 0.750
0.250 0.250 0.250
0.500 0.500 0.500

Record 2
BaZn2Sb2, relaxed, DFT GGA-PBE; calculated total energy = -3.07 eV/atom
1.0
10.613 0.000 0.000
0.000 4.544 0.000
0.000 0.000 11.733
Zn Ba Sb
8 4 8
Direct
0.446 0.750 0.619
0.595 0.250 0.952
0.554 0.250 0.381
0.095 0.250 0.548
0.946 0.750 0.881
0.405 0.750 0.048
0.054 0.250 0.119
0.905 0.750 0.452
0.246 0.250 0.820
0.254 0.750 0.320
0.746 0.250 0.680
0.754 0.750 0.180
0.849 0.250 0.965
0.651 0.750 0.465
0.975 0.250 0.337
0.025 0.750 0.663
0.349 0.250 0.535
0.475 0.250 0.163
0.151 0.750 0.035
0.525 0.750 0.837

Record 3
BaZrSb, relaxed, DFT GGA-PBE; calculated total energy = -4.88 eV/atom
1.0
-1.088 -4.050 -3.312
-4.800 -0.337 -2.322
-0.500 0.897 -5.244
Sb Zr Ba
1 1 1
Direct
0.000 0.000 0.000
0.250 0.250 0.250
0.750 0.750 0.750

Record 4
BaSmSc, relaxed, DFT GGA-PBE; calculated total energy = -3.51 eV/atom
1.0
-2.225 -4.265 -2.909
-4.422 -2.799 2.053
-5.050 0.569 -2.404
Sm Sc Ba
1 1 1
Direct
0.750 0.750 0.750
0.000 0.000 0.000
0.250 0.250 0.250

Record 5
BaTbSc, relaxed, DFT GGA-PBE; calculated total energy = -3.46 eV/atom
1.0
3.165 -0.129 4.603
-1.802 2.427 4.699
-1.533 -3.143 4.358
Sc Tb Ba
1 1 1
Direct
0.000 0.000 0.000
0.750 0.750 0.750
0.250 0.250 0.250

Record 6
BaScZnTe3, relaxed, DFT GGA-PBE; calculated total energy = -4.21 eV/atom
1.0
2.213 -7.560 0.000
2.213 7.560 0.000
0.000 0.000 11.133
Te Ba Sc Zn
6 2 2 2
Direct
0.074 0.926 0.750
0.369 0.631 0.947
0.369 0.631 0.553
0.631 0.369 0.053
0.631 0.369 0.447
0.926 0.074 0.250
0.240 0.760 0.250
0.760 0.240 0.750
0.000 0.000 0.500
0.000 0.000 0.000
0.529 0.471 0.250
0.471 0.529 0.750

Record 7
Ba2ScZn, relaxed, DFT GGA-PBE; calculated total energy = -2.54 eV/atom
1.0
4.479 3.307 1.348
-0.290 3.514 4.515
3.075 -1.119 4.702
Ba Sc Zn
2 1 1
Direct
0.500 0.500 0.500
0.250 0.250 0.250
0.000 0.000 0.000
0.750 0.750 0.750

Record 8
Ba2SmSe3, relaxed, DFT GGA-PBE; calculated total energy = -5.11 eV/atom
1.0
-3.959 -0.665 -1.933
0.629 -1.174 4.252
-3.339 10.235 3.318
Sm Ba Se
1 2 3
Direct
0.000 0.000 0.500
0.667 0.333 0.824
0.333 0.667 0.176
0.333 0.667 0.640
0.000 0.000 0.000
0.667 0.333 0.360

> Among the records above, which one has the highest calculated total energy?

Ba2ScZn

> The highest calculated total energy belongs to which entry?

Ba2ScZn